VASP calculation (PBE) on crystalline BaSc2Si at its relaxed geometry.

Values from the calculation:
Its total energy is -19.185 eV for the cell shown. For the total magnetization, the calculation gives 1.51 Bohr magnetons per cell. The calculation puts the density of states at the Fermi level at 1.120 states/eV/atom. The formation energy without anion corrections comes out at 0.8 eV per formula unit. The calculated density is 4.12 g/cm³. The space-group type is F-43m (216).

CIF file:
```
data_BaSc2Si
_chemical_formula_sum 'Ba1 Sc2 Si1'
_cell_length_a 5.260
_cell_length_b 5.260
_cell_length_c 5.260
_cell_angle_alpha 60.00
_cell_angle_beta 60.00
_cell_angle_gamma 60.00
_symmetry_space_group_name_H-M 'P 1'
_symmetry_Int_Tables_number 1
_symmetry_space_group_name_Hall 'P 1'
loop_
_atom_site_label
_atom_site_fract_x
_atom_site_fract_y
_atom_site_fract_z
_atom_site_occupancy
Ba1 0.500 0.500 0.500 1
Sc1 0.000 0.000 0.000 1
Sc2 0.250 0.250 0.250 1
Si1 0.750 0.750 0.750 1
```